No. 1
A plane-wave DFT calculation with PBE was carried out for a relaxed structure of Ba4CuHg2.

DFT formation energy ... -162 meV per atom
Calculated total energy ... -1.932 eV/atom

Cell lengths 6.210, 6.210, 16.855 Å; angles 90.00, 90.00, 90.00 degrees
Space group I4/mmm (No. 139)
Unique sites:
Ba1 0.000 0.000 0.195 (multiplicity 4)
Ba2 0.000 0.500 0.000 (multiplicity 4)
Cu1 0.000 0.000 0.000 (multiplicity 2)
Hg1 0.000 0.000 0.398 (multiplicity 4)

No. 2
A plane-wave DFT calculation with PBE was carried out for a relaxed structure of BaCuHg2.

DFT formation energy ... -79 meV per atom
Calculated total energy ... -1.735 eV/atom

Cell lengths 4.739, 4.776, 5.208 Å; angles 90.00, 90.00, 90.00 degrees
Space group Pmmm (No. 47)
Unique sites:
Ba1 0.000 0.000 0.000 (multiplicity 1)
Cu1 0.500 0.500 0.000 (multiplicity 1)
Hg1 0.000 0.500 0.500 (multiplicity 1)
Hg2 0.500 0.000 0.500 (multiplicity 1)

No. 3
A plane-wave DFT calculation with PBE was carried out for a relaxed structure of BaCu2Hg.

DFT formation energy ... -111 meV per atom
Calculated total energy ... -2.715 eV/atom

Cell lengths 7.983, 4.608, 6.096 Å; angles 90.00, 116.03, 90.00 degrees
Space group C2/m (No. 12)
Unique sites:
Ba1 0.000 0.000 0.000 (multiplicity 2)
Cu1 0.192 0.000 0.574 (multiplicity 4)
Hg1 0.000 0.500 0.500 (multiplicity 2)

No. 4
A plane-wave DFT calculation with PBE was carried out for a relaxed structure of BaCuHg2.

DFT formation energy ... -83 meV per atom
Calculated total energy ... -1.739 eV/atom

Cell lengths 7.670, 7.670, 7.670 Å; angles 90.00, 90.00, 90.00 degrees
Space group Fm-3m (No. 225)
Unique sites:
Ba1 0.000 0.000 0.000 (multiplicity 4)
Cu1 0.000 0.000 0.500 (multiplicity 4)
Hg1 0.250 0.250 0.250 (multiplicity 8)